! PBE TaNiP, relaxed; values from VASP
&SYSTEM
  ibrav = 0, nat = 3, ntyp = 3
/
ATOMIC_SPECIES
Ni 58.69 Ni.upf
P 30.97 P.upf
Ta 180.95 Ta.upf
ATOMIC_POSITIONS crystal
Ni 0.000 0.000 0.028
P 0.333 0.667 0.308
Ta 0.667 0.333 0.663
CELL_PARAMETERS angstrom
1.423 -2.464 0.000
1.423 2.464 0.000
0.000 0.000 6.051
! formation energy: -0.052 eV/atom
! total magnetic moment: 0.0 μB per formula unit
! SG: P3m1, No. 156
! DOS(E_F): 2.095 states/eV per cell
! density: 10.59 g cm⁻³

---

! PBE LaAl2Br, relaxed; values from VASP
&SYSTEM
  ibrav = 0, nat = 4, ntyp = 3
/
ATOMIC_SPECIES
Al 26.98 Al.upf
Br 79.90 Br.upf
La 138.91 La.upf
ATOMIC_POSITIONS crystal
Al 0.000 0.000 0.020
Al 0.000 0.000 0.480
Br 0.500 0.500 0.250
La 0.500 0.500 0.750
CELL_PARAMETERS angstrom
-3.395 0.179 -0.498
1.356 -3.153 0.157
-1.405 -0.129 9.527
! E above lowest polymorph: 599 meV/atom
! total magnetic moment: 0.0 μB per formula unit
! SG: Cmmm, No. 65
! DOS(E_F): 2.789 states/eV per cell
! density: 4.45 g cm⁻³

---

! PBE CdSn2Ir, relaxed; values from VASP
&SYSTEM
  ibrav = 0, nat = 4, ntyp = 3
/
ATOMIC_SPECIES
Sn 118.71 Sn.upf
Ir 192.22 Ir.upf
Cd 112.41 Cd.upf
ATOMIC_POSITIONS crystal
Sn 0.783 0.046 0.497
Sn 0.608 0.773 0.120
Ir 0.105 0.477 0.422
Cd 0.406 0.438 0.859
CELL_PARAMETERS angstrom
-2.676 -1.700 2.425
-3.613 -2.520 -2.462
0.711 -5.448 0.261
! formation energy: -0.054 eV/atom
! total magnetic moment: 0.0 μB per formula unit
! SG: P1, No. 1
! DOS(E_F): 0.930 states/eV per cell
! density: 9.88 g cm⁻³

---

! PBE DyMgSiHg, relaxed; values from VASP
&SYSTEM
  ibrav = 0, nat = 4, ntyp = 4
/
ATOMIC_SPECIES
Si 28.09 Si.upf
Dy 162.50 Dy.upf
Mg 24.30 Mg.upf
Hg 200.59 Hg.upf
ATOMIC_POSITIONS crystal
Si 0.750 0.750 0.750
Dy 0.500 0.500 0.500
Mg 0.000 0.000 0.000
Hg 0.250 0.250 0.250
CELL_PARAMETERS angstrom
-0.415 4.068 2.820
-4.491 1.634 1.357
-1.462 -0.396 4.731
! total magnetic moment: 0.0 μB per formula unit
! SG: F-43m, No. 216
! DOS(E_F): 2.495 states/eV per cell
! E_tot: -13.04 eV per cell
! density: 7.96 g cm⁻³

---

! PBE AcPmPdO4, relaxed; values from VASP
&SYSTEM
  ibrav = 0, nat = 14, ntyp = 4
/
ATOMIC_SPECIES
O 16.00 O.upf
Pm 145.00 Pm.upf
Pd 106.42 Pd.upf
Ac 227.00 Ac.upf
ATOMIC_POSITIONS crystal
O 0.775 0.142 0.821
O 0.725 0.449 0.652
O 0.366 0.142 0.821
O 0.225 0.858 0.179
O 0.634 0.858 0.179
O 0.275 0.551 0.703
O 0.275 0.551 0.348
O 0.725 0.449 0.297
Pm 0.500 0.000 0.000
Pm 0.500 0.000 0.500
Pd 0.000 0.500 0.500
Pd 0.500 0.500 0.500
Ac 0.815 0.630 0.065
Ac 0.185 0.370 0.935
CELL_PARAMETERS angstrom
-0.777 -6.185 -2.476
4.075 4.616 -3.724
2.457 -2.751 6.099
! total magnetic moment: 0.0 μB per formula unit
! SG: Imma, No. 74
! E_tot: -100.98 eV per cell
! density: 7.14 g cm⁻³

---

! PBE Rb2TbP2S6, relaxed; values from VASP
&SYSTEM
  ibrav = 0, nat = 11, ntyp = 4
/
ATOMIC_SPECIES
S 32.06 S.upf
Tb 158.93 Tb.upf
Rb 85.47 Rb.upf
P 30.97 P.upf
ATOMIC_POSITIONS crystal
S 0.247 0.493 0.368
S 0.793 0.074 0.787
S 0.753 0.507 0.632
S 0.281 0.074 0.787
S 0.207 0.926 0.213
S 0.719 0.926 0.213
Tb 0.500 0.000 0.500
Rb 0.286 0.573 0.805
Rb 0.714 0.427 0.195
P 0.949 0.899 0.821
P 0.051 0.101 0.179
CELL_PARAMETERS angstrom
6.958 0.000 0.000
-3.479 5.983 -0.165
0.000 -3.662 7.236
! total magnetic moment: 0.0 μB per formula unit
! SG: C2/m, No. 12
! DOS(E_F): 2.752 states/eV per cell
! E_tot: -51.97 eV per cell
! density: 3.27 g cm⁻³

---

! PBE Rb4InAu5, relaxed; values from VASP
&SYSTEM
  ibrav = 0, nat = 10, ntyp = 3
/
ATOMIC_SPECIES
Rb 85.47 Rb.upf
Au 196.97 Au.upf
In 114.82 In.upf
ATOMIC_POSITIONS crystal
Rb 0.778 0.720 0.720
Rb 0.498 0.280 0.720
Rb 0.498 0.720 0.280
Rb 0.218 0.280 0.280
Au 0.187 0.000 0.622
Au 0.187 0.622 0.000
Au 0.809 0.000 0.378
Au 0.809 0.378 0.000
Au 0.502 0.000 0.000
In 0.002 0.000 0.000
CELL_PARAMETERS angstrom
5.036 0.000 1.787
2.518 8.088 0.893
-0.186 0.000 8.516
! formation energy: -0.191 eV/atom
! total magnetic moment: 0.0 μB per formula unit
! SG: I4mm, No. 107
! DOS(E_F): 2.204 states/eV per cell
! density: 6.85 g cm⁻³

---

! PBE TiBe4Pt, relaxed; values from VASP
&SYSTEM
  ibrav = 0, nat = 6, ntyp = 3
/
ATOMIC_SPECIES
Ti 47.87 Ti.upf
Be 9.01 Be.upf
Pt 195.08 Pt.upf
ATOMIC_POSITIONS crystal
Ti 0.250 0.250 0.250
Be 0.623 0.130 0.623
Be 0.130 0.623 0.623
Be 0.623 0.623 0.623
Be 0.623 0.623 0.130
Pt 0.000 0.000 0.000
CELL_PARAMETERS angstrom
-2.722 1.195 3.306
-4.327 0.632 -0.802
-2.996 -2.887 1.566
! formation energy: -0.451 eV/atom
! total magnetic moment: 1.3 μB per formula unit
! SG: F-43m, No. 216
! DOS(E_F): 4.865 states/eV per cell
! density: 7.46 g cm⁻³

---

! PBE NaIn2NiPb, relaxed; values from VASP
&SYSTEM
  ibrav = 0, nat = 5, ntyp = 4
/
ATOMIC_SPECIES
In 114.82 In.upf
Pb 207.20 Pb.upf
Na 22.99 Na.upf
Ni 58.69 Ni.upf
ATOMIC_POSITIONS crystal
In 0.500 0.000 0.000
In 0.000 0.500 0.000
Pb 0.000 0.000 0.500
Na 0.500 0.500 0.500
Ni 0.000 0.000 0.000
CELL_PARAMETERS angstrom
-4.458 0.770 2.203
-0.967 -4.932 -0.233
2.212 -0.656 4.707
! formation energy: -0.019 eV/atom
! total magnetic moment: 0.0 μB per formula unit
! SG: P4/mmm, No. 123
! DOS(E_F): 2.546 states/eV per cell
! density: 6.49 g cm⁻³

---

! PBE TmTlNi, relaxed; values from VASP
&SYSTEM
  ibrav = 0, nat = 3, ntyp = 3
/
ATOMIC_SPECIES
Tm 168.93 Tm.upf
Ni 58.69 Ni.upf
Tl 204.38 Tl.upf
ATOMIC_POSITIONS crystal
Tm 0.500 0.500 0.500
Ni 0.250 0.250 0.250
Tl 0.000 0.000 0.000
CELL_PARAMETERS angstrom
4.558 0.000 0.000
2.279 3.948 0.000
2.279 1.316 3.722
! formation energy: -0.222 eV/atom
! total magnetic moment: 0.0 μB per formula unit
! SG: F-43m, No. 216
! DOS(E_F): 3.823 states/eV per cell
! density: 10.71 g cm⁻³

---

! PBE La8PmDy5, relaxed; values from VASP
&SYSTEM
  ibrav = 0, nat = 14, ntyp = 3
/
ATOMIC_SPECIES
Pm 145.00 Pm.upf
Dy 162.50 Dy.upf
La 138.91 La.upf
ATOMIC_POSITIONS crystal
Pm 0.019 0.485 0.647
Dy 0.884 0.978 0.274
Dy 0.616 0.017 0.593
Dy 0.312 0.029 0.893
Dy 0.827 0.759 0.708
Dy 0.955 0.254 0.061
La 0.220 0.753 0.109
La 0.078 0.749 0.426
La 0.513 0.767 0.862
La 0.654 0.216 0.278
La 0.378 0.273 0.482
La 0.480 0.544 0.238
La 0.114 0.210 0.737
La 0.700 0.466 0.944
CELL_PARAMETERS angstrom
-3.129 -6.657 -4.703
1.430 -1.455 8.427
-6.423 5.840 -1.427
! formation energy: 0.152 eV/atom
! total magnetic moment: 0.0 μB per formula unit
! SG: P1, No. 1
! DOS(E_F): 20.278 states/eV per cell
! density: 6.89 g cm⁻³

---

! PBE Np4ScS5, relaxed; values from VASP
&SYSTEM
  ibrav = 0, nat = 10, ntyp = 3
/
ATOMIC_SPECIES
S 32.06 S.upf
Np 237.00 Np.upf
Sc 44.96 Sc.upf
ATOMIC_POSITIONS crystal
S 0.904 0.904 0.809
S 0.701 0.701 0.402
S 0.299 0.299 0.598
S 0.096 0.096 0.191
S 0.500 0.500 0.000
Np 0.801 0.801 0.603
Np 0.199 0.199 0.397
Np 0.401 0.401 0.803
Np 0.599 0.599 0.197
Sc 0.000 0.000 0.000
CELL_PARAMETERS angstrom
3.826 0.000 -0.539
-0.076 3.825 -0.539
0.011 0.011 13.919
! total magnetic moment: 0.2 μB per formula unit
! SG: I4/mmm, No. 139
! DOS(E_F): 27.323 states/eV per cell
! E_tot: -93.31 eV per cell
! density: 9.40 g cm⁻³

---

- Which value of density does entry 8 give?
  7.46 g cm⁻³